First-principles (SCAN) data for AgTe2Pb at its PBEsol-relaxed geometry, as listed in the Alexandria database.

Properties
Size of the total moment (μB per formula unit): 0.017
Formation energy without anion corrections (eV/atom): -0.153

a = 4.295 Å, b = 4.295 Å, c = 7.355 Å
α = 73.03°, β = 73.03°, γ = 60.00°
Positions (direct):
Pb 0.500 0.500 0.500
Te 0.739 0.739 0.782
Te 0.261 0.261 0.218
Ag 0.000 0.000 0.000

First-principles (SCAN) data for AgTePb2 at its PBEsol-relaxed geometry, as listed in the Alexandria database.

Properties
Size of the total moment (μB per formula unit): 0.000
Formation energy without anion corrections (eV/atom): 0.112

a = 3.915 Å, b = 5.213 Å, c = 5.213 Å
α = 90.00°, β = 90.00°, γ = 90.00°
Positions (direct):
Pb 0.000 0.000 0.500
Pb 0.000 0.500 0.000
Te 0.500 0.500 0.500
Ag 0.500 0.000 0.000

First-principles (SCAN) data for Ag4TePb at its PBEsol-relaxed geometry, as listed in the Alexandria database.

Properties
Size of the total moment (μB per formula unit): 0.000
Formation energy without anion corrections (eV/atom): 0.086

a = 5.592 Å, b = 5.592 Å, c = 5.592 Å
α = 60.00°, β = 60.00°, γ = 60.00°
Positions (direct):
Ag 0.375 0.375 0.375
Ag 0.375 0.375 0.874
Ag 0.874 0.375 0.375
Ag 0.375 0.874 0.375
Pb 0.750 0.750 0.750
Te 0.000 0.000 0.000

First-principles (SCAN) data for TmAgPb at its PBEsol-relaxed geometry, as listed in the Alexandria database.

Properties
E_form (kJ per mole of atoms): -47.80
Size of the total moment (μB per formula unit): 0.000

a = 4.465 Å, b = 7.316 Å, c = 7.316 Å
α = 120.00°, β = 90.00°, γ = 90.00°
Positions (direct):
Tm 0.500 0.432 0.432
Tm 0.500 0.568 0.000
Tm 0.500 0.000 0.568
Ag 0.000 0.245 0.000
Ag 0.000 0.000 0.245
Ag 0.000 0.755 0.755
Pb 0.500 0.000 0.000
Pb 0.000 0.667 0.333
Pb 0.000 0.333 0.667